# 1
{"formula": "PrNd2Zn2Si4Au2", "functional": "PBE-GGA", "state": "relaxed", "lattice_angstrom": [[-2.119, 2.139, 12.412], [2.119, -2.139, 12.412], [2.119, 2.139, -12.412]], "species": ["Pr", "Nd", "Nd", "Zn", "Zn", "Si", "Si", "Si", "Si", "Au", "Au"], "frac_coords": [[0.000, 0.000, 0.000], [0.146, 0.646, 0.500], [0.854, 0.354, 0.500], [0.405, 0.905, 0.500], [0.595, 0.095, 0.500], [0.309, 0.809, 0.500], [0.452, 0.452, 0.000], [0.548, 0.548, 0.000], [0.691, 0.191, 0.500], [0.250, 0.250, 0.000], [0.750, 0.750, 0.000]], "dft_energy_ev_per_fu": -52.0}

---

# 2
{"formula": "Pr2NdZn2Si4Au2", "functional": "PBE-GGA", "state": "relaxed", "lattice_angstrom": [[-2.107, 2.141, 12.593], [2.107, -2.141, 12.593], [2.107, 2.141, -12.593]], "species": ["Pr", "Pr", "Nd", "Zn", "Zn", "Si", "Si", "Si", "Si", "Au", "Au"], "frac_coords": [[0.147, 0.147, 0.000], [0.853, 0.853, 0.000], [0.500, 0.000, 0.500], [0.250, 0.750, 0.500], [0.750, 0.250, 0.500], [0.047, 0.547, 0.500], [0.307, 0.307, 0.000], [0.693, 0.693, 0.000], [0.953, 0.453, 0.500], [0.405, 0.405, 0.000], [0.595, 0.595, 0.000]], "dft_energy_ev_per_fu": -52.5}

---

# 3
{"formula": "PrNd2Zn2Si4Au2", "functional": "PBE-GGA", "state": "relaxed", "lattice_angstrom": [[-2.102, 2.135, 12.598], [2.102, -2.135, 12.598], [2.102, 2.135, -12.598]], "species": ["Pr", "Nd", "Nd", "Zn", "Zn", "Si", "Si", "Si", "Si", "Au", "Au"], "frac_coords": [[0.000, 0.000, 0.000], [0.353, 0.853, 0.500], [0.647, 0.147, 0.500], [0.250, 0.250, 0.000], [0.750, 0.750, 0.000], [0.193, 0.693, 0.500], [0.453, 0.453, 0.000], [0.547, 0.547, 0.000], [0.807, 0.307, 0.500], [0.096, 0.596, 0.500], [0.904, 0.404, 0.500]], "dft_energy_ev_per_fu": -52.4}

---

| no. | spin magnetization (μB per cell) |
| --- | --- |
| 1 | 0.00 |
| 2 | 0.11 |
| 3 | 0.12 |